A plane-wave DFT calculation with GGA-PBE was carried out for an optimized crystal structure of TbPr5Pb6.

```
TbPr5Pb6
1.0
7.927 0.195 0.000
2.416 7.658 0.000
1.208 3.829 6.817
Tb Pr Pb
1 5 6
direct
0.000 0.000 0.000
0.500 0.170 0.660
0.000 0.334 0.332
0.500 0.500 0.000
0.000 0.666 0.668
0.500 0.830 0.340
0.755 0.082 0.327
0.245 0.591 0.327
0.250 0.244 0.000
0.750 0.756 0.000
0.755 0.409 0.673
0.245 0.918 0.673
```

ΔE to the lowest computed polymorph: 104 meV/atom
Volume: 34.21 Å³ per atom
Space group: No. 12
E_form: -411 meV/atom
Energy: -4.6421 eV per atom